1.
First-principles (PBE) data for a relaxed structure of Sr2HfBr8, as listed in Alexandria via LeMat-Bulk.

Cell: 6.9193 7.4771 8.6922 Å, 88.77 113.45 90.00°
Last column: nearest neighbours and their distance in Å.
Fractional positions:
Sr 0.1376 0.4613 0.2751  2 Br 2.92-3.09
Sr 0.8624 0.5387 0.7249  2 Br 2.92-3.09
Hf 0.0000 0.0000 0.0000  6 Br 2.62-2.63
Br 0.7271 0.2575 0.9601  1 Hf 2.62
Br 0.2330 0.2575 0.9601  1 Hf 2.62
Br 0.2729 0.7425 0.0399  1 Hf 2.62
Br 0.6875 0.4300 0.3751  1 Sr 2.92
Br 0.7670 0.7425 0.0399  1 Hf 2.62
Br 0.1625 0.0497 0.3250  1 Hf 2.63
Br 0.8375 0.9503 0.6750  1 Hf 2.63
Br 0.3125 0.5700 0.6249  1 Sr 2.92

As for the space-group type: C2/m, No. 12. Its final energy is -4.151 eV per atom. The theoretical density comes out at 4.00 g/cm3. The formation energy from raw total energies comes out at -1.723 eV/atom.


2.
First-principles (PBE) data for a relaxed structure of SrHf2Br, as listed in Alexandria via LeMat-Bulk.

Cell: 5.1809 5.1809 10.6821 Å, 75.97 75.97 90.00°
Last column: nearest neighbours and their distance in Å.
Fractional positions:
Sr 0.0000 0.0000 0.0000  4 Br 3.66, 8 Hf 3.69-3.97
Sr 0.7500 0.2500 0.5000  4 Br 3.66, 8 Hf 3.69-3.97
Hf 0.4151 0.1250 0.2500  2 Hf 2.62, 2 Br 2.83
Hf 0.3349 0.6250 0.2500  2 Hf 2.62, 2 Br 2.83
Hf 0.3750 0.5849 0.7500  2 Hf 2.62, 2 Br 2.83
Hf 0.8750 0.6651 0.7500  2 Hf 2.62, 2 Br 2.83
Br 0.5000 0.5000 0.0000  4 Hf 2.83
Br 0.2500 0.7500 0.5000  4 Hf 2.83

As for the space-group type: I-42d, No. 122. Its final energy is -5.152 eV per atom. The theoretical density comes out at 6.47 g/cm3. The formation energy from raw total energies comes out at 0.663 eV/atom.


3.
First-principles (PBE) data for a relaxed structure of HfTa3Br, as listed in Alexandria via LeMat-Bulk.

Cell: 4.7274 4.7274 4.7274 Å, 90.00 90.00 90.00°
Last column: nearest neighbours and their distance in Å.
Fractional positions:
Hf 0.5000 0.5000 0.5000  12 Ta 3.34
Br 0.0000 0.0000 0.0000  6 Ta 2.36
Ta 0.0000 0.5000 0.0000  2 Br 2.36
Ta 0.0000 0.0000 0.5000  2 Br 2.36
Ta 0.5000 0.0000 0.0000  2 Br 2.36

As for the space-group type: Pm-3m, No. 221. Its final energy is -8.266 eV per atom. The theoretical density comes out at 12.59 g/cm3. The formation energy from raw total energies comes out at 1.171 eV/atom.


4.
First-principles (PBE) data for a relaxed structure of HfTa2Br, as listed in Alexandria via LeMat-Bulk.

Cell: 4.7917 4.7917 4.7917 Å, 60.00 60.00 60.00°
Last column: nearest neighbours and their distance in Å.
Fractional positions:
Hf 0.5000 0.5000 0.5000  8 Ta 2.93
Br 0.0000 0.0000 0.0000  8 Ta 2.93
Ta 0.2500 0.2500 0.2500  4 Hf 2.93, 4 Br 2.93
Ta 0.7500 0.7500 0.7500  4 Hf 2.93, 4 Br 2.93

As for the space-group type: Fm-3m, No. 225. Its final energy is -7.941 eV per atom. The theoretical density comes out at 13.24 g/cm3. The formation energy from raw total energies comes out at 0.892 eV/atom.


5.
First-principles (PBE) data for a relaxed structure of Hf2TaBr, as listed in Alexandria via LeMat-Bulk.

Cell: 4.1991 4.1991 10.3387 Å, 78.28 78.28 90.00°
Last column: nearest neighbours and their distance in Å.
Fractional positions:
Hf 0.6271 0.1250 0.2500  2 Ta 2.88, 2 Br 2.89, 4 Hf 2.96-2.98
Hf 0.1229 0.6250 0.2500  2 Ta 2.88, 2 Br 2.89, 4 Hf 2.96-2.98
Hf 0.3750 0.3729 0.7500  2 Ta 2.88, 2 Br 2.89, 4 Hf 2.96-2.98
Hf 0.8750 0.8771 0.7500  2 Ta 2.88, 2 Br 2.89, 4 Hf 2.96-2.98
Br 0.5000 0.5000 0.0000  4 Hf 2.89, 4 Ta 2.97
Br 0.2500 0.7500 0.5000  4 Hf 2.89, 4 Ta 2.97
Ta 0.0000 0.0000 0.0000  4 Hf 2.88, 4 Br 2.97
Ta 0.7500 0.2500 0.5000  4 Hf 2.88, 4 Br 2.97

As for the space-group type: I-42d, No. 122. Its final energy is -7.552 eV per atom. The theoretical density comes out at 11.75 g/cm3. The formation energy from raw total energies comes out at 0.807 eV/atom.


6.
First-principles (PBE) data for a relaxed structure of HfTa3Br, as listed in Alexandria via LeMat-Bulk.

Cell: 5.0175 5.0175 5.0175 Å, 90.00 90.00 90.00°
Last column: nearest neighbours and their distance in Å.
Fractional positions:
Hf 0.0000 0.0000 0.0000  6 Ta 2.51
Br 0.5000 0.5000 0.5000  12 Ta 3.55
Ta 0.0000 0.5000 0.0000  2 Hf 2.51
Ta 0.0000 0.0000 0.5000  2 Hf 2.51
Ta 0.5000 0.0000 0.0000  2 Hf 2.51

As for the space-group type: Pm-3m, No. 221. Its final energy is -7.376 eV per atom. The theoretical density comes out at 10.53 g/cm3. The formation energy from raw total energies comes out at 2.061 eV/atom.


7.
First-principles (PBE) data for a relaxed structure of Hf3TaBr, as listed in Alexandria via LeMat-Bulk.

Cell: 5.1859 5.1859 5.1859 Å, 90.00 90.00 90.00°
Last column: nearest neighbours and their distance in Å.
Fractional positions:
Hf 0.0000 0.5000 0.0000  2 Ta 2.59
Hf 0.0000 0.0000 0.5000  2 Ta 2.59
Hf 0.5000 0.0000 0.0000  2 Ta 2.59
Br 0.5000 0.5000 0.5000  12 Hf 3.67
Ta 0.0000 0.0000 0.0000  6 Hf 2.59

As for the space-group type: Pm-3m, No. 221. Its final energy is -7.589 eV per atom. The theoretical density comes out at 9.48 g/cm3. The formation energy from raw total energies comes out at 1.089 eV/atom.


8.
First-principles (PBE) data for a relaxed structure of HfTa2Br2, as listed in Alexandria via LeMat-Bulk.

Cell: 4.1110 4.1110 7.1214 Å, 73.22 73.22 90.00°
Last column: nearest neighbours and their distance in Å.
Fractional positions:
Hf 0.0000 0.0000 0.0000  8 Ta 3.20
Br 0.7500 0.2500 0.5000  4 Ta 2.80, 4 Br 2.91
Br 0.2500 0.7500 0.5000  4 Ta 2.80, 4 Br 2.91
Ta 0.3966 0.3966 0.2067  1 Ta 2.69, 4 Br 2.80
Ta 0.6034 0.6034 0.7933  1 Ta 2.69, 4 Br 2.80

As for the space-group type: I4/mmm, No. 139. Its final energy is -6.816 eV per atom. The theoretical density comes out at 10.58 g/cm3. The formation energy from raw total energies comes out at 0.585 eV/atom.


9.
First-principles (PBE) data for a relaxed structure of HfTa2Br2, as listed in Alexandria via LeMat-Bulk.

Cell: 8.0801 8.0801 3.0475 Å, 90.00 90.00 90.00°
Last column: nearest neighbours and their distance in Å.
Fractional positions:
Hf 0.0000 0.0000 0.0000  2 Hf 3.05, 4 Ta 3.06
Hf 0.5000 0.5000 0.0000  2 Hf 3.05, 4 Ta 3.06
Br 0.1400 0.6400 0.5000  6 Ta 2.80-2.83, 2 Br 3.05
Br 0.6400 0.8600 0.5000  6 Ta 2.80-2.83, 2 Br 3.05
Br 0.8600 0.3600 0.5000  6 Ta 2.80-2.83, 2 Br 3.05
Br 0.3600 0.1400 0.5000  6 Ta 2.80-2.83, 2 Br 3.05
Ta 0.3456 0.8456 0.0000  6 Br 2.80-2.83, 2 Ta 3.05, 2 Hf 3.06
Ta 0.8456 0.6544 0.0000  6 Br 2.80-2.83, 2 Ta 3.05, 2 Hf 3.06
Ta 0.6544 0.1544 0.0000  6 Br 2.80-2.83, 2 Ta 3.05, 2 Hf 3.06
Ta 0.1544 0.3456 0.0000  6 Br 2.80-2.83, 2 Ta 3.05, 2 Hf 3.06

As for the space-group type: P4/mbm, No. 127. Its final energy is -6.489 eV per atom. The theoretical density comes out at 11.69 g/cm3. The formation energy from raw total energies comes out at 0.912 eV/atom.


10.
First-principles (PBE) data for a relaxed structure of Hf2TaBr, as listed in Alexandria via LeMat-Bulk.

Cell: 4.8864 4.8864 4.8864 Å, 60.00 60.00 60.00°
Last column: nearest neighbours and their distance in Å.
Fractional positions:
Hf 0.2500 0.2500 0.2500  4 Ta 2.99, 4 Br 2.99
Hf 0.7500 0.7500 0.7500  4 Ta 2.99, 4 Br 2.99
Br 0.0000 0.0000 0.0000  8 Hf 2.99
Ta 0.5000 0.5000 0.5000  8 Hf 2.99

As for the space-group type: Fm-3m, No. 225. Its final energy is -7.857 eV per atom. The theoretical density comes out at 12.44 g/cm3. The formation energy from raw total energies comes out at 0.501 eV/atom.


11.
First-principles (PBE) data for a relaxed structure of Hf3TaBr, as listed in Alexandria via LeMat-Bulk.

Cell: 4.8508 4.8508 4.8508 Å, 90.00 90.00 90.00°
Last column: nearest neighbours and their distance in Å.
Fractional positions:
Hf 0.0000 0.5000 0.0000  2 Br 2.43
Hf 0.0000 0.0000 0.5000  2 Br 2.43
Hf 0.5000 0.0000 0.0000  2 Br 2.43
Br 0.0000 0.0000 0.0000  6 Hf 2.43
Ta 0.5000 0.5000 0.5000  12 Hf 3.43

As for the space-group type: Pm-3m, No. 221. Its final energy is -7.895 eV per atom. The theoretical density comes out at 11.59 g/cm3. The formation energy from raw total energies comes out at 0.783 eV/atom.


12.
First-principles (PBE) data for a relaxed structure of HfTaBr, as listed in Alexandria via LeMat-Bulk.

Cell: 3.2396 3.2394 14.4717 Å, 92.60 95.16 114.61°
Last column: nearest neighbours and their distance in Å.
Fractional positions:
Ta 0.7927 0.2834 0.5734  2 Ta 2.74, 2 Hf 2.88
Ta 0.2073 0.7166 0.4266  2 Ta 2.74, 2 Hf 2.88
Hf 0.7013 0.0613 0.2708  3 Br 2.71-2.77, 2 Ta 2.88
Hf 0.2987 0.9387 0.7292  3 Br 2.71-2.77, 2 Ta 2.88
Br 0.7217 0.6581 0.8663  3 Hf 2.71-2.77
Br 0.2783 0.3419 0.1337  3 Hf 2.71-2.77

As for the space-group type: P-1, No. 2. Its final energy is -8.260 eV per atom. The theoretical density comes out at 10.66 g/cm3. The formation energy from raw total energies comes out at -0.434 eV/atom.